Entry 1:
VASP calculation (GGA-PBE) on an optimized crystal structure of Zr4SeN.

The structure belongs to space group P2_1/c (No. 14); the cell edges are 7.203, 5.439 and 6.868 Å and the angles 90.00°, 118.22° and 90.00°. The asymmetric unit holds Zr at (0.141, 0.231, 0.335), Zr at (0.275, 0.747, 0.636), Se at (0.500, 0.000, 0.000) and N at (0.000, 0.000, 0.000).

The value obtained for the density of states at the Fermi level is 0.73 states/eV/atom. The value obtained for the raw formation energy is -899 meV/atom.

Entry 2:
VASP calculation (GGA-PBE) on an optimized crystal structure of Na2ZnAgH.

The structure belongs to space group P4/mmm (No. 123); the cell edges are 4.509, 4.509 and 4.316 Å and the angles 90.00°, 90.00° and 90.00°. The asymmetric unit holds Na at (0.000, 0.500, 0.000), Zn at (0.000, 0.000, 0.500), Ag at (0.500, 0.500, 0.500) and H at (0.000, 0.000, 0.000).

Its relative energy among the computed polymorphs is 15 meV per atom. The value obtained for the density of states at the Fermi level is 0.31 states/eV/atom.

Entry 3:
VASP calculation (GGA-PBE) on an optimized crystal structure of Rb3CuF8.

The structure belongs to space group I4/mmm (No. 139); the cell edges are 6.146, 6.146 and 11.834 Å and the angles 90.00°, 90.00° and 90.00°. The asymmetric unit holds Rb at (0.000, 0.000, 0.000), Rb at (0.000, 0.500, 0.250), Cu at (0.000, 0.000, 0.500) and F at (0.196, 0.196, 0.398).

Its relative energy among the computed polymorphs is 167 meV per atom. The value obtained for the density of states at the Fermi level is 0.78 states/eV/atom. The value obtained for the raw formation energy is -1714 meV/atom.

Entry 4:
VASP calculation (GGA-PBE) on an optimized crystal structure of TbY2Ho3As6.

The structure belongs to space group C2/m (No. 12); the cell edges are 17.931, 4.115 and 8.227 Å and the angles 90.00°, 103.25° and 90.00°. The asymmetric unit holds Tb at (0.000, 0.000, 0.000), Y at (0.167, 0.500, 0.333), Ho at (0.000, 0.000, 0.500), Ho at (0.167, 0.500, 0.833), As at (0.000, 0.500, 0.251), As at (0.166, 0.000, 0.584) and As at (0.167, 0.000, 0.082).

The value obtained for the density of states at the Fermi level is 0.15 states/eV/atom.

Number 1: total energy -8.57 eV per atom. Number 2: total energy -1.93 eV per atom. Number 3: total energy -3.55 eV per atom. Number 4: total energy -6.47 eV per atom.